## MnRuF2 (GGA+U)

Data for MnRuF2 after structural relaxation.

Cell lengths 5.1799, 5.1799, 6.0144 Å; angles 64.49, 64.49, 90.00 degrees
With the nearest neighbours (Å) after each atom.
Fractional coordinates of all 8 atoms:
F: 0.1748 0.6250 0.2500  2 Mn 2.04
F: 0.8750 0.8252 0.7500  2 Mn 2.04
F: 0.5752 0.1250 0.2500  2 Mn 2.04
F: 0.3750 0.4248 0.7500  2 Mn 2.04
Mn: 0.5000 0.5000 0.0000  4 F 2.04
Mn: 0.2500 0.7500 0.5000  4 F 2.04
Ru: 0.0000 0.0000 0.0000  4 F 2.35
Ru: 0.7500 0.2500 0.5000  4 F 2.35

Computed properties:
- calculated total energy (eV/atom) = -5.55
- size of the total moment (μB/f.u.) = 5.0
- space group = I-42d, No. 122